MnBeTe2 PBE-GGA optimized geometry; E = -4.718 eV/atom; size of the total moment = 4.80 μB/cell; D(E_F) = 0.738 states/eV/cell; theoretical density = 5.3 g/cm³; formation energy without anion corrections = 77 meV per atom
1.0
6.515 -1.887 0.000
6.515 1.887 0.000
-0.314 0.000 4.052
Mn Be Te
1 1 2
direct
0.000 0.000 0.000 Mn
0.248 0.248 0.254 Be
0.424 0.424 0.467 Te
0.678 0.678 0.964 Te